# 1
This record from Alexandria via LeMat-Bulk describes crystalline CaSi2W2 at its relaxed geometry. The functional is PBE.

Energy relative to the elements, uncorrected = 0.9 eV/f.u.
Uncorrected energy = -37.88 eV for the cell shown
D(E_F) = 3.5 states/eV/cell
SG = I4/mmm (139)

Cell: 5.5439 5.5439 5.5439 Å, 130.32 130.32 72.89°
Sites, in units of the cell vectors:
Ca 0.0000 0.0000 0.0000
Si 0.2500 0.7500 0.5000
Si 0.7500 0.2500 0.5000
W 0.3645 0.3645 0.0000
W 0.6355 0.6355 0.0000

# 2
This record from Alexandria via LeMat-Bulk describes crystalline CaSi4W at its relaxed geometry. The functional is PBE.

Energy relative to the elements, uncorrected = 2.4 eV/f.u.
Uncorrected energy = -34.30 eV for the cell shown
D(E_F) = 3.5 states/eV/cell
SG = F-43m (216)

Cell: 5.0820 5.0820 5.0820 Å, 60.00 60.00 60.00°
Sites, in units of the cell vectors:
Ca 0.0000 0.0000 0.0000
Si 0.1311 0.6230 0.6230
Si 0.6230 0.1311 0.6230
Si 0.6230 0.6230 0.1311
Si 0.6230 0.6230 0.6230
W 0.2500 0.2500 0.2500

# 3
This record from Alexandria via LeMat-Bulk describes crystalline Ca3SiW at its relaxed geometry. The functional is PBE.

Energy relative to the elements, uncorrected = 6.2 eV/f.u.
Uncorrected energy = -18.18 eV for the cell shown
D(E_F) = 5.2 states/eV/cell
SG = Pm-3m (221)

Cell: 5.4488 5.4488 5.4488 Å, 90.00 90.00 90.00°
Sites, in units of the cell vectors:
Ca 0.0000 0.0000 0.5000
Ca 0.0000 0.5000 0.0000
Ca 0.5000 0.0000 0.0000
Si 0.5000 0.5000 0.5000
W 0.0000 0.0000 0.0000

# 4
This record from Alexandria via LeMat-Bulk describes crystalline Ca3SiW at its relaxed geometry. The functional is PBE.

Energy relative to the elements, uncorrected = 4.8 eV/f.u.
Uncorrected energy = -19.61 eV for the cell shown
D(E_F) = 2.4 states/eV/cell
SG = Pm-3m (221)

Cell: 5.5979 5.5979 5.5979 Å, 90.00 90.00 90.00°
Sites, in units of the cell vectors:
Ca 0.0000 0.0000 0.5000
Ca 0.0000 0.5000 0.0000
Ca 0.5000 0.0000 0.0000
Si 0.0000 0.0000 0.0000
W 0.5000 0.5000 0.5000

# 5
This record from Alexandria via LeMat-Bulk describes crystalline Ca2YSi at its relaxed geometry. The functional is PBE.

Energy relative to the elements, uncorrected = 0.2 eV/f.u.
Uncorrected energy = -31.32 eV for the cell shown
D(E_F) = 13.3 states/eV/cell
SG = I-42d (122)

Cell: 7.4608 7.4608 7.4608 Å, 98.86 98.86 133.79°
Sites, in units of the cell vectors:
Ca 0.0241 0.1250 0.3991
Ca 0.3750 0.9759 0.1009
Ca 0.7259 0.6250 0.6009
Ca 0.8750 0.2741 0.8991
Y 0.2500 0.7500 0.5000
Y 0.5000 0.5000 0.0000
Si 0.0000 0.0000 0.0000
Si 0.7500 0.2500 0.5000

# 6
This record from Alexandria via LeMat-Bulk describes crystalline Ca2YSi at its relaxed geometry. The functional is PBE.

Energy relative to the elements, uncorrected = -0.7 eV/f.u.
Uncorrected energy = -16.58 eV for the cell shown
D(E_F) = 4.1 states/eV/cell
SG = Imm2 (44)

Cell: 6.8860 6.8860 6.8860 Å, 148.79 133.62 56.96°
Sites, in units of the cell vectors:
Ca 0.0000 0.0000 0.0000
Ca 0.6895 0.1895 0.5000
Y 0.3110 0.8110 0.5000
Si 0.4917 0.4917 0.0000

# 7
This record from Alexandria via LeMat-Bulk describes crystalline CaYSi3 at its relaxed geometry. The functional is PBE.

Energy relative to the elements, uncorrected = -2.6 eV/f.u.
Uncorrected energy = -54.67 eV for the cell shown
D(E_F) = 6.5 states/eV/cell
SG = Cmcm (63)

Cell: 12.6912 12.6912 3.9477 Å, 90.00 90.00 160.91°
Sites, in units of the cell vectors:
Ca 0.2029 0.7971 0.7500
Ca 0.7971 0.2029 0.2500
Y 0.0689 0.9311 0.2500
Y 0.9311 0.0689 0.7500
Si 0.3284 0.6716 0.7500
Si 0.3828 0.6172 0.2500
Si 0.4758 0.5242 0.2500
Si 0.5242 0.4758 0.7500
Si 0.6172 0.3828 0.7500
Si 0.6716 0.3284 0.2500

# 8
This record from Alexandria via LeMat-Bulk describes crystalline Ca2YSi at its relaxed geometry. The functional is PBE.

Energy relative to the elements, uncorrected = 0.4 eV/f.u.
Uncorrected energy = -15.46 eV for the cell shown
D(E_F) = 3.5 states/eV/cell
SG = C2/m (12)

Cell: 6.5743 6.5743 3.5328 Å, 103.70 103.70 120.94°
Sites, in units of the cell vectors:
Ca 0.0000 0.5000 0.0000
Ca 0.5000 0.0000 0.0000
Y 0.0000 0.0000 0.5000
Si 0.5000 0.5000 0.5000

# 9
This record from Alexandria via LeMat-Bulk describes crystalline CaY2Si at its relaxed geometry. The functional is PBE.

Energy relative to the elements, uncorrected = -0.7 eV/f.u.
Uncorrected energy = -21.01 eV for the cell shown
D(E_F) = 3.7 states/eV/cell
SG = P4/mmm (123)

Cell: 4.7748 4.7748 4.5512 Å, 90.00 90.00 90.00°
Sites, in units of the cell vectors:
Ca 0.0000 0.0000 0.0000
Y 0.0000 0.5000 0.5000
Y 0.5000 0.0000 0.5000
Si 0.5000 0.5000 0.0000

# 10
This record from Alexandria via LeMat-Bulk describes crystalline CaYSi3 at its relaxed geometry. The functional is PBE.

Energy relative to the elements, uncorrected = 4.2 eV/f.u.
Uncorrected energy = -20.56 eV for the cell shown
D(E_F) = 3.5 states/eV/cell
SG = Pm-3m (221)

Cell: 5.0610 5.0610 5.0610 Å, 90.00 90.00 90.00°
Sites, in units of the cell vectors:
Ca 0.0000 0.0000 0.0000
Y 0.5000 0.5000 0.5000
Si 0.0000 0.0000 0.5000
Si 0.0000 0.5000 0.0000
Si 0.5000 0.0000 0.0000

# 11
This record from Alexandria via LeMat-Bulk describes crystalline Ca2YSi at its relaxed geometry. The functional is PBE.

Energy relative to the elements, uncorrected = -0.9 eV/f.u.
Uncorrected energy = -16.84 eV for the cell shown
D(E_F) = 4.1 states/eV/cell
SG = Amm2 (38)

Cell: 3.8844 8.4962 8.4962 Å, 28.68 90.00 90.00°
Sites, in units of the cell vectors:
Ca 0.0000 0.0000 0.0000
Ca 0.5000 0.3311 0.3311
Y 0.5000 0.6563 0.6563
Si 0.0000 0.1800 0.1800

# 12
This record from Alexandria via LeMat-Bulk describes crystalline Ca2YSi at its relaxed geometry. The functional is PBE.

Energy relative to the elements, uncorrected = -0.1 eV/f.u.
Uncorrected energy = -16.01 eV for the cell shown
D(E_F) = 4.0 states/eV/cell
SG = I-4m2 (119)

Cell: 5.8871 5.8871 5.8871 Å, 132.40 132.40 69.60°
Sites, in units of the cell vectors:
Ca 0.0000 0.0000 0.0000
Ca 0.7500 0.2500 0.5000
Y 0.5000 0.5000 0.0000
Si 0.2500 0.7500 0.5000

- Among the records above, which one has the lowest uncorrected energy?
  number 7

- Among the records above, which one has the lowest D(E_F)?
  number 4

- uncorrected energy of number 7 (CaYSi3)?
  -54.67 eV for the cell shown

- Which of these has the highest D(E_F)?
  number 5